Model i:
The following is a DFT calculation (PBE-GGA) of CsCoW2 after structural relaxation.

```
CsCoW2
1.0
-3.5302 1.4715 2.5204
-2.3947 3.6694 -1.3345
-4.2828 -0.4983 -1.5458
Cs Co W
1 1 2
direct
0.5000 0.5000 0.5000 Cs
0.0000 0.0000 0.0000 Co
0.2500 0.2500 0.2500 W
0.7500 0.7500 0.7500 W
```

Computed properties:
N(E_F) in states/eV/cell: 1.82
Space-group type: No. 225


Model ii:
The following is a DFT calculation (PBE-GGA) of CsCoW2 after structural relaxation.

```
CsCoW2
1.0
5.0391 0.0000 0.0000
0.0000 5.0391 0.0000
2.5196 2.5196 8.0898
Cs Co W
2 2 4
direct
0.0000 0.0000 0.0000 Cs
0.7500 0.2500 0.5000 Cs
0.5000 0.5000 0.0000 Co
0.2500 0.7500 0.5000 Co
0.4433 0.1250 0.2500 W
0.3067 0.6250 0.2500 W
0.3750 0.5567 0.7500 W
0.8750 0.6933 0.7500 W
```

Computed properties:
N(E_F) in states/eV/cell: 10.54
Space-group type: No. 122


Stability summary: most stable model ii, least stable model i.


Model i:
The following is a DFT calculation (PBE-GGA) of Cs2Y2Co after structural relaxation.

```
Cs2Y2Co
1.0
-4.0590 -4.7646 3.6620
4.2809 0.8086 5.7971
-4.3485 5.5749 2.4336
Cs Y Co
4 4 2
direct
0.1934 0.6934 0.5000 Cs
0.6934 0.8066 0.5000 Cs
0.8066 0.3066 0.5000 Cs
0.3066 0.1934 0.5000 Cs
0.3055 0.8055 0.0000 Y
0.8055 0.6945 0.0000 Y
0.6945 0.1945 0.0000 Y
0.1945 0.3055 0.0000 Y
0.0000 0.0000 0.0000 Co
0.5000 0.5000 0.0000 Co
```

Computed properties:
N(E_F) in states/eV/cell: 9.93
Space-group type: No. 127


Model ii:
The following is a DFT calculation (PBE-GGA) of Cs2Y2Co after structural relaxation.

```
Cs2Y2Co
1.0
-0.1623 -4.3818 0.3125
4.0369 -0.2721 -1.7187
6.0337 -1.7985 8.8352
Cs Y Co
2 2 1
direct
0.7500 0.2500 0.5000 Cs
0.2500 0.7500 0.5000 Cs
0.4280 0.4280 0.1441 Y
0.5720 0.5720 0.8559 Y
0.0000 0.0000 0.0000 Co
```

Computed properties:
N(E_F) in states/eV/cell: 4.57
Space-group type: No. 139


Stability summary: most stable model i, least stable model ii.